Entry i
The following is a GGA-PBE calculation of a geometry-optimized BeInCl3 structure, from Alexandria via LeMat-Bulk.

Computed properties:
N(E_F) (states/eV/f.u.): 3.4

a b c (Å): 5.2097 5.2097 5.2097
angles (deg): 90.00 90.00 90.00
Last column: nearest neighbours and their distance in Å.
Space group Pm-3m (No. 221)
Symmetry-distinct sites (fractional):
Be: 0.0000 0.0000 0.0000  12 Cl 3.68
In: 0.5000 0.5000 0.5000  6 Cl 2.60
Cl: 0.0000 0.5000 0.5000  2 In 2.60



Entry ii
The following is a GGA-PBE calculation of a geometry-optimized BeInCl3 structure, from Alexandria via LeMat-Bulk.

Computed properties:
N(E_F) (states/eV/f.u.): 0.0

a b c (Å): 15.8620 9.1564 13.6864
angles (deg): 90.00 112.73 90.00
Last column: nearest neighbours and their distance in Å.
Space group C2/c (No. 15)
Symmetry-distinct sites (fractional):
Be: 0.0000 0.1775 0.2500  4 Cl 1.98-2.10
Be: 0.1192 0.4644 0.7500  4 Cl 1.98-2.10
In: 0.0810 0.2554 0.0002  8 Cl 3.30-3.46
In: 0.2500 0.2500 0.5000  8 Cl 3.26-3.45
Cl: 0.0000 0.3656 0.7500  2 Be 2.10
Cl: 0.0452 0.0685 0.3859  1 Be 1.98
Cl: 0.1091 0.3075 0.2503  2 Be 2.09-2.10
Cl: 0.1276 0.4103 0.6129  1 Be 1.99
Cl: 0.2196 0.4089 0.8848  1 Be 1.98



Name the most stable of them. entry ii.